# 1
Material: LaNdGaN3
Method: DFT, PBE
State: relaxed

Properties
The calculation puts the volume at 17.25 Å³ per atom. The value obtained for the energy relative to the elements, uncorrected is -910 meV per atom. The total energy comes out at -7.193 eV per atom.

Lattice parameters (Å, degrees): 3.5674 7.6157 7.6725 96.87 90.00 90.00
Last column: nearest neighbours and their distance in Å.
Sites, in units of the cell vectors:
La: 0.7500 0.8285 0.8226  3 N 2.42-2.49
La: 0.2500 0.1715 0.1774  3 N 2.42-2.49
Nd: 0.2500 0.6341 0.1710  5 N 2.36-2.58
Nd: 0.7500 0.3659 0.8290  5 N 2.36-2.58
Ga: 0.2500 0.0945 0.6064  4 N 1.93-2.03
Ga: 0.7500 0.9055 0.3936  4 N 1.93-2.03
N: 0.2500 0.8417 0.4960  3 Ga 2.01-2.03
N: 0.7500 0.8724 0.1405  1 Ga 1.93
N: 0.7500 0.3922 0.1386  3 Nd 2.36-2.55, 2 La 2.49
N: 0.7500 0.1583 0.5040  3 Ga 2.01-2.03
N: 0.2500 0.6078 0.8614  3 Nd 2.36-2.55, 2 La 2.49
N: 0.2500 0.1276 0.8595  1 Ga 1.93


# 2
Material: Li2Ca2Zn15
Method: DFT, PBE
State: relaxed

Properties
The calculation puts the volume at 16.64 Å³ per atom. The total energy comes out at -1.626 eV per atom. Its formation energy is -0.2077 eV per atom.

Lattice parameters (Å, degrees): 6.8554 6.8554 6.8554 83.33 83.33 83.33
Last column: nearest neighbours and their distance in Å.
Sites, in units of the cell vectors:
Li: 0.0987 0.0987 0.0987  1 Li 2.60, 6 Zn 2.78-2.87
Li: 0.9013 0.9013 0.9013  1 Li 2.60, 6 Zn 2.78-2.87
Ca: 0.3414 0.3414 0.3414  1 Li 3.20, 18 Zn 3.22-3.50
Ca: 0.6586 0.6586 0.6586  1 Li 3.20, 18 Zn 3.22-3.50
Zn: 0.5000 0.0000 0.0000  8 Zn 2.59-2.65, 2 Li 2.78
Zn: 0.0000 0.0000 0.5000  8 Zn 2.59-2.65, 2 Li 2.78
Zn: 0.0000 0.5000 0.0000  8 Zn 2.59-2.65, 2 Li 2.78
Zn: 0.0000 0.7041 0.2959  8 Zn 2.59-2.75
Zn: 0.7041 0.2959 0.0000  8 Zn 2.59-2.75
Zn: 0.2959 0.0000 0.7041  8 Zn 2.59-2.75
Zn: 0.2959 0.7041 0.0000  8 Zn 2.59-2.75
Zn: 0.7041 0.0000 0.2959  8 Zn 2.59-2.75
Zn: 0.0000 0.2959 0.7041  8 Zn 2.59-2.75
Zn: 0.1578 0.6517 0.6517  8 Zn 2.62-2.75, 1 Li 2.87
Zn: 0.6517 0.6517 0.1578  8 Zn 2.62-2.75, 1 Li 2.87
Zn: 0.6517 0.1578 0.6517  8 Zn 2.62-2.75, 1 Li 2.87
Zn: 0.8422 0.3483 0.3483  8 Zn 2.62-2.75, 1 Li 2.87
Zn: 0.3483 0.3483 0.8422  8 Zn 2.62-2.75, 1 Li 2.87
Zn: 0.3483 0.8422 0.3483  8 Zn 2.62-2.75, 1 Li 2.87


# 3
Material: SiAu2N
Method: DFT, PBE
State: relaxed

Properties
The calculation puts the volume at 18.29 Å³ per atom. The value obtained for the energy relative to the elements, uncorrected is 858 meV per atom. The total energy comes out at -4.217 eV per atom.

Lattice parameters (Å, degrees): 5.5029 5.5029 6.2031 63.67 63.67 90.00
Last column: nearest neighbours and their distance in Å.
Sites, in units of the cell vectors:
Si: 0.0000 0.0000 0.0000  4 Au 2.44
Si: 0.7500 0.2500 0.5000  4 Au 2.44
Au: 0.5829 0.1250 0.2500  2 N 2.16
Au: 0.1671 0.6250 0.2500  2 N 2.16
Au: 0.3750 0.4171 0.7500  2 N 2.16
Au: 0.8750 0.8329 0.7500  2 N 2.16
N: 0.5000 0.5000 0.0000  4 Au 2.16
N: 0.2500 0.7500 0.5000  4 Au 2.16


# 4
Material: Sr2MoAu
Method: DFT, PBE
State: relaxed

Properties
The calculation puts the volume at 29.05 Å³ per atom. The total energy comes out at -3.883 eV per atom. Its formation energy is 0.4848 eV per atom.

Lattice parameters (Å, degrees): 5.4772 5.4772 5.4772 60.00 60.00 60.00
Last column: nearest neighbours and their distance in Å.
Sites, in units of the cell vectors:
Sr: 0.2500 0.2500 0.2500  4 Mo 3.35, 4 Au 3.35
Sr: 0.7500 0.7500 0.7500  4 Au 3.35, 4 Mo 3.35
Mo: 0.0000 0.0000 0.0000  8 Sr 3.35
Au: 0.5000 0.5000 0.5000  8 Sr 3.35


- Which of these has the highest volume?
  Sr2MoAu


- total energy of number 3 (SiAu2N)?
  -4.217 eV per atom